No. 1
Cd2SiAu | PBE | relaxed

Values from the calculation:
For the formation energy from raw total energies, the calculation gives 1.0 eV/f.u.

a b c (Å): 4.8297 4.8297 4.8297
angles (deg): 60.00 60.00 60.00
Last column: nearest neighbours and their distance in Å.
Fractional positions:
Cd 0.0000 0.0000 0.0000  4 Cd 2.96, 4 Au 2.96
Cd 0.2500 0.2500 0.2500  4 Cd 2.96, 4 Si 2.96
Si 0.5000 0.5000 0.5000  4 Cd 2.96, 4 Au 2.96
Au 0.7500 0.7500 0.7500  4 Cd 2.96, 4 Si 2.96

---

No. 2
CdSi2Au2 | PBE | relaxed

Values from the calculation:
For the formation energy from raw total energies, the calculation gives 1.2 eV/f.u. As for the energy above the most stable polymorph in this dataset: 0.135 eV/atom.

a b c (Å): 7.5480 7.5480 3.2937
angles (deg): 90.00 90.00 90.00
Last column: nearest neighbours and their distance in Å.
Fractional positions:
Cd 0.0000 0.0000 0.0000  4 Au 2.93, 8 Si 3.26
Cd 0.5000 0.5000 0.0000  4 Au 2.93, 8 Si 3.26
Si 0.1658 0.3342 0.5000  6 Au 2.67-2.83
Si 0.3342 0.8342 0.5000  6 Au 2.67-2.83
Si 0.6658 0.1658 0.5000  6 Au 2.67-2.83
Si 0.8342 0.6658 0.5000  6 Au 2.67-2.83
Au 0.1371 0.6371 0.0000  6 Si 2.67-2.83, 1 Au 2.93, 2 Cd 2.93
Au 0.3629 0.1371 0.0000  6 Si 2.67-2.83, 1 Au 2.93, 2 Cd 2.93
Au 0.6371 0.8629 0.0000  6 Si 2.67-2.83, 1 Au 2.93, 2 Cd 2.93
Au 0.8629 0.3629 0.0000  6 Si 2.67-2.83, 1 Au 2.93, 2 Cd 2.93

---

Respective theoretical density values: 9.4 10.0 Mg/m³.